[1]
The following is a GGA-PBE calculation of crystalline AcCePa at its relaxed geometry, from the Alexandria database.

```
AcCePa
1.0
-1.736 1.736 7.776
1.736 -1.736 7.776
1.736 1.736 -7.776
Ac Ce Pa
1 1 1
direct
0.000 0.000 0.000
0.689 0.689 0.000
0.335 0.335 0.000
```

Space group   I4mm (107)
Energy relative to the lowest polymorph listed for this composition   0.000 eV per atom
Total energy   -18.7 eV/cell
Formation enthalpy at 0 K   0.276 eV/atom
Density of states at the Fermi level   8.0 states/eV/f.u.

[2]
The following is a GGA-PBE calculation of crystalline V3HI at its relaxed geometry, from the Alexandria database.

```
V3HI
1.0
5.293 0.000 0.000
0.000 5.293 0.000
0.000 0.000 5.293
V H I
3 1 1
direct
0.000 0.000 0.500
0.000 0.500 0.000
0.500 0.000 0.000
0.500 0.500 0.500
0.000 0.000 0.000
```

Space group   Pm-3m (221)
Energy relative to the lowest polymorph listed for this composition   1.637 eV per atom
Total energy   -21.6 eV/cell
Density of states at the Fermi level   10.8 states/eV/f.u.

[3]
The following is a GGA-PBE calculation of crystalline NpPb2Se2O2 at its relaxed geometry, from the Alexandria database.

```
NpPb2Se2O2
1.0
6.130 -2.088 0.000
6.130 2.088 0.000
-3.836 0.000 6.393
Np Pb Se O
1 2 2 2
direct
0.000 0.000 0.000
0.199 0.199 0.714
0.801 0.801 0.286
0.430 0.430 0.680
0.570 0.570 0.320
0.182 0.182 0.073
0.818 0.818 0.927
```

Space group   C2/m (12)
Formation energy from raw total energies   -1.39 eV per atom
Total energy   -47.0 eV/cell
Density of states at the Fermi level   3.5 states/eV/f.u.

[4]
The following is a GGA-PBE calculation of crystalline La4YNi at its relaxed geometry, from the Alexandria database.

```
La4YNi
1.0
0.000 4.587 4.587
4.587 0.000 4.587
4.587 4.587 0.000
La Y Ni
4 1 1
direct
0.123 0.123 0.123
0.123 0.123 0.630
0.123 0.630 0.123
0.630 0.123 0.123
0.500 0.500 0.500
0.750 0.750 0.750
```

Space group   F-43m (216)
Total energy   -28.5 eV/cell
Formation enthalpy at 0 K   0.580 eV/atom
Density of states at the Fermi level   10.0 states/eV/f.u.

[5]
The following is a GGA-PBE calculation of crystalline Ac2PrOsO8 at its relaxed geometry, from the Alexandria database.

```
Ac2PrOsO8
1.0
5.090 0.000 0.000
0.000 7.274 0.000
-0.091 0.000 5.518
Ac Pr Os O
2 1 1 8
direct
0.000 0.243 0.000
0.000 0.757 0.000
0.500 0.500 0.500
0.500 0.000 0.500
0.162 0.500 0.215
0.207 0.000 0.299
0.355 0.200 0.693
0.355 0.800 0.693
0.645 0.200 0.307
0.645 0.800 0.307
0.793 0.000 0.701
0.838 0.500 0.785
```

Space group   P2/m (10)
Formation energy from raw total energies   -2.39 eV per atom
Total energy   -92.5 eV/cell
Density of states at the Fermi level   2.5 states/eV/f.u.

[6]
The following is a GGA-PBE calculation of crystalline TaTl2Pb at its relaxed geometry, from the Alexandria database.

```
TaTl2Pb
1.0
3.099 -5.322 0.000
3.099 5.322 0.000
-1.201 0.000 3.011
Ta Tl Pb
1 2 1
direct
0.000 0.000 0.000
0.000 0.500 0.500
0.500 0.000 0.500
0.500 0.500 0.000
```

Space group   C2/m (12)
Energy relative to the lowest polymorph listed for this composition   0.249 eV per atom
Total energy   -17.7 eV/cell
Formation enthalpy at 0 K   0.640 eV/atom
Density of states at the Fermi level   2.6 states/eV/f.u.

[7]
The following is a GGA-PBE calculation of crystalline Sn3PdF at its relaxed geometry, from the Alexandria database.

```
Sn3PdF
1.0
5.209 0.000 0.000
0.000 5.209 0.000
0.000 0.000 5.209
Sn Pd F
3 1 1
direct
0.000 0.000 0.500
0.000 0.500 0.000
0.500 0.000 0.000
0.000 0.000 0.000
0.500 0.500 0.500
```

Space group   Pm-3m (221)
Energy relative to the lowest polymorph listed for this composition   0.043 eV per atom
Formation energy from raw total energies   -0.22 eV per atom
Total energy   -20.2 eV/cell
Density of states at the Fermi level   5.5 states/eV/f.u.

[8]
The following is a GGA-PBE calculation of crystalline Sm2PaHg at its relaxed geometry, from the Alexandria database.

```
Sm2PaHg
1.0
1.661 0.959 11.808
-1.661 0.959 11.808
0.000 -1.918 11.808
Sm Pa Hg
2 1 1
direct
0.092 0.092 0.092
0.908 0.908 0.908
0.000 0.000 0.000
0.500 0.500 0.500
```

Space group   R-3m (166)
Energy relative to the lowest polymorph listed for this composition   0.308 eV per atom
Total energy   -18.4 eV/cell
Formation enthalpy at 0 K   0.200 eV/atom
Density of states at the Fermi level   6.1 states/eV/f.u.